VASP calculation (PBE) on a relaxed Y2TcPb crystal.

Unit cell a=5.0406 b=5.0406 c=5.0406 alpha=60.00 beta=60.00 gamma=60.00
Element x y z (fractional)
Pb: 0.5000 0.5000 0.5000
Tc: 0.7500 0.7500 0.7500
Y: 0.0000 0.0000 0.0000
Y: 0.2500 0.2500 0.2500

Summary:
Its space group is No. 216. For the density of states at the Fermi level, the calculation gives 6.50 states/eV/f.u. The total DFT energy (no corrections) is -6.6756 eV/atom. As for the formation energy: 0.300 eV per formula unit. The crystal system is cubic. The calculation puts the total magnetization at 0.21 μB per cell.